Compound: Er6Tm12Zr
Source: the Alexandria database
Functional: GGA-PBE
Structure: relaxed

The structure belongs to space group R-3 (No. 148, hexagonal axes); the cell edges are 11.6332, 11.6332 and 14.8757 Å and the angles 90.00°, 90.00° and 120.00°. The distinct sites, in fractional coordinates, are Er at (0.0171, 0.4275, 0.1804), Tm at (0.0135, 0.8370, 0.6875), Tm at (0.0477, 0.8559, 0.9139) and Zr at (0.0000, 0.0000, 0.5000).

The polymorph energy (0 for the lowest one) comes out at 0.000 eV per atom. The formation energy comes out at 0.167 eV/atom.